1.
A plane-wave DFT calculation with PBE was carried out for a relaxed SrSn2Hg crystal.

Cell lengths 4.8189, 4.8387, 4.8387 Å; angles 90.00, 90.00, 90.00 degrees
Fractional positions:
Hg 0.5000 0.5000 0.5000
Sn 0.0000 0.0000 0.5000
Sn 0.0000 0.5000 0.0000
Sr 0.5000 0.0000 0.0000

Calculated formation energy   -1.450 eV/f.u.
V   112.82 Å³/f.u.
Symmetry   P4/mmm (123)
Raw total energy   -2.8599 eV per atom
Fermi-level density of states   0.486 states/eV per atom


2.
A plane-wave DFT calculation with PBE was carried out for a relaxed AcErSc2 crystal.

Cell lengths 3.4469, 3.4469, 12.2402 Å; angles 81.91, 81.91, 60.00 degrees
Fractional positions:
Sc 0.9071 0.9071 0.2786
Sc 0.0929 0.0929 0.7214
Er 0.5000 0.5000 0.5000
Ac 0.0000 0.0000 0.0000

Calculated formation energy   1.132 eV/f.u.
V   124.27 Å³/f.u.
Symmetry   R-3m (166)
Raw total energy   -5.0506 eV per atom
Fermi-level density of states   1.693 states/eV per atom
Polymorph energy (0 for the lowest one)   190.1 meV/atom


- What is the formula in the first record?
  SrSn2Hg